Entry 1:
# NdMgZn2 (PBE, relaxed)
data_NdMgZn2
_cell_length_a 6.973
_cell_length_b 6.973
_cell_length_c 6.973
_cell_angle_alpha 90.00
_cell_angle_beta 90.00
_cell_angle_gamma 90.00
_symmetry_space_group_name_H-M 'F m -3 m'
_symmetry_Int_Tables_number 225
_symmetry_space_group_name_Hall '-F 4 2 3'
loop_
_atom_site_label
_atom_site_fract_x
_atom_site_fract_y
_atom_site_fract_z
Nd1 0.000 0.000 0.000
Mg1 0.000 0.000 0.500
Zn1 0.250 0.250 0.250
# Energy above the lowest structure with this stoichiometry, eV per atom: 0.000
# DOS(E_F), states/eV per cell: 6.2

Entry 2:
# Nd3Mg2Zn2 (PBE, relaxed)
data_Nd3Mg2Zn2
_cell_length_a 3.840
_cell_length_b 6.336
_cell_length_c 8.053
_cell_angle_alpha 100.83
_cell_angle_beta 90.13
_cell_angle_gamma 107.44
_symmetry_space_group_name_H-M 'P -1'
_symmetry_Int_Tables_number 2
loop_
_symmetry_equiv_pos_as_xyz
'x,y,z'
'-x,-y,-z'
loop_
_atom_site_label
_atom_site_fract_x
_atom_site_fract_y
_atom_site_fract_z
Nd1 0.000 0.000 0.000
Nd2 0.364 0.726 0.639
Mg1 0.300 0.601 0.146
Zn1 0.080 0.159 0.642
# DOS(E_F), states/eV per cell: 7.8

Entry 3:
# NdMg3Zn3 (PBE, relaxed)
data_NdMg3Zn3
_cell_length_a 8.480
_cell_length_b 4.748
_cell_length_c 8.490
_cell_angle_alpha 90.00
_cell_angle_beta 119.95
_cell_angle_gamma 90.00
_symmetry_space_group_name_H-M 'P 1 21/m 1'
_symmetry_Int_Tables_number 11
loop_
_symmetry_equiv_pos_as_xyz
'x,y,z'
'-x,-y,-z'
'-x,y+1/2,-z'
'x,-y+1/2,z'
loop_
_atom_site_label
_atom_site_fract_x
_atom_site_fract_y
_atom_site_fract_z
Nd1 0.167 0.250 0.333
Mg1 0.251 0.250 0.979
Mg2 0.272 0.750 0.751
Mg3 0.479 0.750 0.228
Zn1 0.026 0.250 0.604
Zn2 0.104 0.750 0.078
Zn3 0.422 0.750 0.526
# DOS(E_F), states/eV per cell: 7.5

Entry 4:
# Nd8MgZn2 (PBE, relaxed)
data_Nd8MgZn2
_cell_length_a 17.800
_cell_length_b 5.119
_cell_length_c 8.015
_cell_angle_alpha 90.00
_cell_angle_beta 112.48
_cell_angle_gamma 90.00
_symmetry_space_group_name_H-M 'C 1 2/m 1'
_symmetry_Int_Tables_number 12
loop_
_symmetry_equiv_pos_as_xyz
'x,y,z'
'-x,-y,-z'
'-x,y,-z'
'x,-y,z'
'x+1/2,y+1/2,z'
'-x+1/2,-y+1/2,-z'
'-x+1/2,y+1/2,-z'
'x+1/2,-y+1/2,z'
loop_
_atom_site_label
_atom_site_fract_x
_atom_site_fract_y
_atom_site_fract_z
Nd1 0.041 0.000 0.249
Nd2 0.095 0.500 0.969
Nd3 0.179 0.500 0.465
Nd4 0.183 0.000 0.778
Mg1 0.000 0.500 0.500
Zn1 0.194 0.000 0.164
# DOS(E_F), states/eV per cell: 22.5

Ordered raw total energy results: -10.256 -21.026 -14.423 -43.166; unit eV per formula unit.
Ordered DFT formation energy results: -0.336 -0.141 -0.150 -0.080; unit eV/atom.
Ordered total moment results: 0.0 0.0 0.0 0.0; unit μB/cell.